A) This record from Alexandria describes a relaxed Pa2BRh6 crystal. The functional is PBE-GGA.

Computed properties:
Spin magnetization: 0.0 μB/f.u.

abc: 4.9996 4.9996 13.1206
angles: 90.00 90.00 90.00
Space group P4_2/mnm (No. 136)
Inequivalent atoms, fractional coordinates:
Pa 0.0000 0.0000 0.2070
B 0.0000 0.0000 0.5000
Rh 0.2085 0.2085 0.3849
Rh 0.2121 0.2121 0.0000

***

B) This record from Alexandria describes a relaxed Pa2BRh6 crystal. The functional is PBE-GGA.

Computed properties:
Spin magnetization: 0.0 μB/f.u.

abc: 8.2692 8.2692 8.2692
angles: 90.00 90.00 90.00
Space group Fm-3m (No. 225)
Inequivalent atoms, fractional coordinates:
Pa 0.2500 0.2500 0.2500
B 0.0000 0.0000 0.0000
Rh 0.0000 0.0000 0.2550

***

Name the most stable of them. B).